1.
Entry from Alexandria via LeMat-Bulk: La4SbOs at its PBEsol-relaxed geometry (meta-GGA SCAN).

The structure in CIF format:
```
data_La4SbOs
_chemical_formula_sum 'La16 Sb4 Os4'
_symmetry_space_group_name_H-M 'F -4 3 m'
_symmetry_Int_Tables_number 216
_symmetry_space_group_name_Hall 'F -4 2 3'
_cell_length_a 8.6272
_cell_length_b 8.6272
_cell_length_c 8.6272
_cell_angle_alpha 90.00
_cell_angle_beta 90.00
_cell_angle_gamma 90.00
loop_
_atom_site_label
_atom_site_fract_x
_atom_site_fract_y
_atom_site_fract_z
La1 0.1254 0.1254 0.1254
Sb1 0.2500 0.2500 0.7500
Os1 0.0000 0.0000 0.5000
```

DFT total energy in Ry per atom: -3.408

=====

2.
Entry from Alexandria via LeMat-Bulk: InSiSb2Te at its PBEsol-relaxed geometry (meta-GGA SCAN).

The structure in CIF format:
```
data_InSiSb2Te
_chemical_formula_sum 'In1 Si1 Sb2 Te1'
_symmetry_space_group_name_H-M 'P 4/m m m'
_symmetry_Int_Tables_number 123
_symmetry_space_group_name_Hall '-P 4 2'
_cell_length_a 5.4572
_cell_length_b 5.4572
_cell_length_c 5.5002
_cell_angle_alpha 90.00
_cell_angle_beta 90.00
_cell_angle_gamma 90.00
loop_
_atom_site_label
_atom_site_fract_x
_atom_site_fract_y
_atom_site_fract_z
In1 0.0000 0.0000 0.0000
Si1 0.5000 0.5000 0.5000
Sb1 0.0000 0.5000 0.0000
Te1 0.0000 0.0000 0.5000
```

DFT total energy in Ry per atom: -2.197
Excess energy over the best structure of this formula in the dataset in meV/atom: 632

=====

3.
Entry from Alexandria via LeMat-Bulk: KZr2Re at its PBEsol-relaxed geometry (meta-GGA SCAN).

The structure in CIF format:
```
data_KZr2Re
_chemical_formula_sum 'K4 Zr8 Re4'
_symmetry_space_group_name_H-M 'F -4 3 m'
_symmetry_Int_Tables_number 216
_symmetry_space_group_name_Hall 'F -4 2 3'
_cell_length_a 6.9315
_cell_length_b 6.9315
_cell_length_c 6.9315
_cell_angle_alpha 90.00
_cell_angle_beta 90.00
_cell_angle_gamma 90.00
loop_
_atom_site_label
_atom_site_fract_x
_atom_site_fract_y
_atom_site_fract_z
K1 0.0000 0.0000 0.0000
Zr1 0.0000 0.0000 0.5000
Zr2 0.2500 0.2500 0.2500
Re1 0.2500 0.2500 0.7500
```

DFT total energy in Ry per atom: -2.496
Energy of formation in meV/atom: 1251

=====

Q: Among the records above, which one has the highest DFT total energy?
A: InSiSb2Te

=====

Copy entry 3 word for word.
Entry from Alexandria via LeMat-Bulk: KZr2Re at its PBEsol-relaxed geometry (meta-GGA SCAN).

The structure in CIF format:
```
data_KZr2Re
_chemical_formula_sum 'K4 Zr8 Re4'
_symmetry_space_group_name_H-M 'F -4 3 m'
_symmetry_Int_Tables_number 216
_symmetry_space_group_name_Hall 'F -4 2 3'
_cell_length_a 6.9315
_cell_length_b 6.9315
_cell_length_c 6.9315
_cell_angle_alpha 90.00
_cell_angle_beta 90.00
_cell_angle_gamma 90.00
loop_
_atom_site_label
_atom_site_fract_x
_atom_site_fract_y
_atom_site_fract_z
K1 0.0000 0.0000 0.0000
Zr1 0.0000 0.0000 0.5000
Zr2 0.2500 0.2500 0.2500
Re1 0.2500 0.2500 0.7500
```

DFT total energy in Ry per atom: -2.496
Energy of formation in meV/atom: 1251